# PBE Pr2B6C3, optimized geometry
data_Pr2B6C3
_cell_length_a 5.3540
_cell_length_b 5.3540
_cell_length_c 4.7262
_cell_angle_alpha 90.00
_cell_angle_beta 90.00
_cell_angle_gamma 120.00
_space_group_name_H-M_alt 'P -6 2 m'
_space_group_IT_number 189
_space_group_name_Hall 'P -6 -2'
loop_
_atom_site_label
_atom_site_type_symbol
_atom_site_fract_x
_atom_site_fract_y
_atom_site_fract_z
Pr1 Pr 0.3333 0.6667 0.0000
B1 B 0.0000 0.3329 0.5000
B2 B 0.0000 0.8324 0.0000
C1 C 0.0000 0.6595 0.5000
# * DFT formation energy: 0.65 eV/atom
# * density: 5.4 g/cm3
# * calculated total energy: -6.37 eV per atom